Record 1
Below is SrLiAcPr after structural relaxation, with properties calculated at the PBE level.

POSCAR file:
```
SrLiAcPr
1.0
-4.930 3.452 -0.750
-4.918 -2.286 -2.715
-5.006 -1.118 3.236
Pr Sr Ac Li
1 1 1 1
direct
0.750 0.750 0.750 Pr
0.250 0.250 0.250 Sr
0.500 0.500 0.500 Ac
0.000 0.000 0.000 Li
```

Calculated values
Its space group is F-43m, No. 216. Its calculated formation energy is 251.8 meV/atom. The value obtained for the density of states at the Fermi level is 5.31 states/eV per cell.


Record 2
Below is Li2AcPrTe4 after structural relaxation, with properties calculated at the PBE level.

POSCAR file:
```
Li2AcPrTe4
1.0
7.801 0.000 0.000
3.901 5.818 0.056
3.901 0.533 5.794
Li Ac Pr Te
2 1 1 4
direct
0.250 0.250 0.250 Li
0.750 0.750 0.750 Li
0.000 0.000 0.000 Ac
0.500 0.500 0.500 Pr
0.459 0.068 0.541 Te
0.068 0.932 0.459 Te
0.932 0.541 0.068 Te
0.541 0.459 0.932 Te
```

Calculated values
The raw formation energy is -116.0 kJ per mole of atoms. Its space group is I-42m, No. 121.


Record 3
Below is LiAc2PrTe5 after structural relaxation, with properties calculated at the PBE level.

POSCAR file:
```
LiAc2PrTe5
1.0
-0.347 -4.546 -0.801
7.252 2.902 -6.242
9.287 -2.413 9.667
Li Ac Pr Te
2 4 2 10
direct
0.555 0.110 0.964 Li
0.445 0.890 0.464 Li
0.876 0.752 0.805 Ac
0.107 0.214 0.685 Ac
0.124 0.248 0.305 Ac
0.893 0.786 0.185 Ac
0.801 0.603 0.508 Pr
0.199 0.397 0.008 Pr
0.363 0.727 0.000 Te
0.688 0.376 0.846 Te
0.499 0.999 0.781 Te
0.286 0.572 0.669 Te
0.953 0.906 0.566 Te
0.637 0.273 0.500 Te
0.312 0.624 0.346 Te
0.501 0.001 0.281 Te
0.714 0.428 0.169 Te
0.047 0.094 0.066 Te
```

Calculated values
The raw formation energy is -139.8 kJ per mole of atoms. Its space group is Cmc2_1, No. 36.


Record 4
Below is LiAcPr2Te4 after structural relaxation, with properties calculated at the PBE level.

POSCAR file:
```
LiAcPr2Te4
1.0
4.546 0.000 0.000
0.000 8.021 -0.221
0.000 2.765 7.296
Li Ac Pr Te
1 1 2 4
direct
0.500 0.500 0.000 Li
0.000 0.500 0.500 Ac
0.000 0.000 0.000 Pr
0.500 0.000 0.500 Pr
0.000 0.746 0.762 Te
0.000 0.254 0.238 Te
0.500 0.752 0.237 Te
0.500 0.248 0.763 Te
```

Calculated values
The raw formation energy is -134.2 kJ per mole of atoms. Its space group is P2/m, No. 10. The value obtained for the density of states at the Fermi level is 3.12 states/eV per cell.


Record 5
Below is LiAc2Pr3Te6 after structural relaxation, with properties calculated at the PBE level.

POSCAR file:
```
LiAc2Pr3Te6
1.0
7.899 -0.015 -0.011
-3.960 6.835 -0.011
-1.324 -2.292 7.562
Li Ac Pr Te
1 2 3 6
direct
0.000 0.000 0.000 Li
0.336 0.664 0.000 Ac
0.664 0.336 0.000 Ac
0.173 0.827 0.500 Pr
0.827 0.173 0.500 Pr
0.500 0.500 0.500 Pr
0.918 0.602 0.751 Te
0.769 0.769 0.255 Te
0.082 0.398 0.249 Te
0.602 0.918 0.751 Te
0.231 0.231 0.745 Te
0.398 0.082 0.249 Te
```

Calculated values
The raw formation energy is -137.2 kJ per mole of atoms. Its space group is C2/m, No. 12. The value obtained for the density of states at the Fermi level is 6.34 states/eV per cell.


Record 6
Below is LiAcPr2Te5 after structural relaxation, with properties calculated at the PBE level.

POSCAR file:
```
LiAcPr2Te5
1.0
-2.818 -2.778 -2.191
8.144 -0.289 -5.438
4.643 -10.640 7.518
Li Ac Pr Te
2 2 4 10
direct
0.507 0.015 0.988 Li
0.493 0.985 0.488 Li
0.810 0.620 0.496 Ac
0.190 0.380 0.996 Ac
0.881 0.762 0.797 Pr
0.114 0.228 0.683 Pr
0.119 0.238 0.297 Pr
0.886 0.772 0.183 Pr
0.362 0.724 0.997 Te
0.696 0.392 0.824 Te
0.507 0.013 0.791 Te
0.294 0.589 0.666 Te
0.963 0.926 0.583 Te
0.638 0.276 0.497 Te
0.304 0.608 0.324 Te
0.493 0.987 0.291 Te
0.706 0.411 0.166 Te
0.037 0.074 0.083 Te
```

Calculated values
The raw formation energy is -129.2 kJ per mole of atoms. Its space group is Cmc2_1, No. 36.


Record 7
Below is LiAcPrTe3 after structural relaxation, with properties calculated at the PBE level.

POSCAR file:
```
LiAcPrTe3
1.0
-3.034 0.793 3.164
5.388 -4.502 6.294
3.035 9.331 0.573
Li Ac Pr Te
2 2 2 6
direct
0.250 0.087 0.589 Li
0.750 0.913 0.411 Li
0.250 0.185 0.231 Ac
0.750 0.815 0.769 Ac
0.250 0.662 0.155 Pr
0.750 0.338 0.845 Pr
0.750 0.905 0.127 Te
0.250 0.095 0.873 Te
0.250 0.783 0.496 Te
0.750 0.217 0.504 Te
0.750 0.431 0.183 Te
0.250 0.569 0.817 Te
```

Calculated values
The raw formation energy is -132.8 kJ per mole of atoms. Its space group is P2_1/m, No. 11. The value obtained for the density of states at the Fermi level is 6.81 states/eV per cell.


Record 8
Below is LiAc3Pr4Te8 after structural relaxation, with properties calculated at the PBE level.

POSCAR file:
```
LiAc3Pr4Te8
1.0
-5.150 -7.336 -1.920
3.837 -0.499 -8.389
5.340 0.029 7.449
Li Ac Pr Te
1 3 4 8
direct
0.000 0.500 0.000 Li
0.500 0.500 0.000 Ac
0.500 0.500 0.500 Ac
0.000 0.500 0.500 Ac
0.500 0.000 0.000 Pr
0.500 0.000 0.500 Pr
0.000 0.000 0.000 Pr
0.000 0.000 0.500 Pr
0.244 0.752 0.008 Te
0.244 0.752 0.489 Te
0.246 0.238 0.492 Te
0.763 0.752 0.008 Te
0.237 0.248 0.992 Te
0.754 0.762 0.508 Te
0.756 0.248 0.511 Te
0.756 0.248 0.992 Te
```

Calculated values
The raw formation energy is -137.6 kJ per mole of atoms. Its space group is R-3m, No. 166. The value obtained for the density of states at the Fermi level is 9.46 states/eV per cell.


Record 9
Below is Li2Ac2PrTl2 after structural relaxation, with properties calculated at the PBE level.

POSCAR file:
```
Li2Ac2PrTl2
1.0
5.019 0.000 0.000
2.509 4.346 0.000
2.509 1.449 9.847
Li Ac Pr Tl
2 2 1 2
direct
0.614 0.614 0.158 Li
0.386 0.386 0.842 Li
0.124 0.124 0.628 Ac
0.876 0.876 0.372 Ac
0.000 0.000 0.000 Pr
0.729 0.729 0.814 Tl
0.271 0.271 0.186 Tl
```

Calculated values
Its space group is R-3m, No. 166. Its calculated formation energy is -209.8 meV/atom. The value obtained for the density of states at the Fermi level is 6.06 states/eV per cell.


Record 10
Below is LiAc2PrTl4 after structural relaxation, with properties calculated at the PBE level.

POSCAR file:
```
LiAc2PrTl4
1.0
5.553 0.000 0.000
2.777 4.809 0.000
2.777 1.603 9.492
Li Ac Pr Tl
1 2 1 4
direct
0.500 0.500 0.500 Li
0.756 0.756 0.733 Ac
0.244 0.244 0.267 Ac
0.000 0.000 0.000 Pr
0.375 0.375 0.876 Tl
0.873 0.873 0.380 Tl
0.127 0.127 0.620 Tl
0.625 0.625 0.124 Tl
```

Calculated values
Its space group is R-3m, No. 166. Its calculated formation energy is -327.2 meV/atom. The value obtained for the density of states at the Fermi level is 6.50 states/eV per cell.


Record 11
Below is Li2Ac3Pr2Tl4 after structural relaxation, with properties calculated at the PBE level.

POSCAR file:
```
Li2Ac3Pr2Tl4
1.0
-0.489 5.118 -0.908
-3.102 -3.397 -2.469
-10.399 1.064 11.602
Li Ac Pr Tl
2 3 2 4
direct
0.667 0.333 0.870 Li
0.333 0.667 0.130 Li
0.000 0.000 0.754 Ac
0.000 0.000 0.000 Ac
0.000 0.000 0.246 Ac
0.667 0.333 0.426 Pr
0.333 0.667 0.574 Pr
0.667 0.333 0.125 Tl
0.333 0.667 0.875 Tl
0.667 0.333 0.644 Tl
0.333 0.667 0.356 Tl
```

Calculated values
Its space group is P-3m1, No. 164. Its calculated formation energy is -188.5 meV/atom. The value obtained for the density of states at the Fermi level is 14.67 states/eV per cell.


Record 12
Below is Li2AcPrTl4 after structural relaxation, with properties calculated at the PBE level.

POSCAR file:
```
Li2AcPrTl4
1.0
5.385 0.000 0.000
2.692 4.663 0.000
2.692 1.554 8.955
Li Ac Pr Tl
2 1 1 4
direct
0.752 0.752 0.743 Li
0.248 0.248 0.257 Li
0.000 0.000 0.000 Ac
0.500 0.500 0.500 Pr
0.380 0.380 0.861 Tl
0.873 0.873 0.380 Tl
0.127 0.127 0.620 Tl
0.620 0.620 0.139 Tl
```

Calculated values
Its space group is R-3m, No. 166. Its calculated formation energy is -322.6 meV/atom. The value obtained for the density of states at the Fermi level is 1.96 states/eV per cell.